The following is a DFT calculation (GGA-PBE) of Y2TlI after structural relaxation.

Properties
* space group: No. 225
* VASP energy: -18.43 eV for the cell shown
* formation energy without anion corrections: -396 meV per atom

Lattice parameters (Å, degrees): 5.451 5.451 5.451 60.00 60.00 60.00
Atoms (fractional coordinates):
I 0.000 0.000 0.000
Y 0.250 0.250 0.250
Y 0.750 0.750 0.750
Tl 0.500 0.500 0.500